# 1
# Nb3Ge4Os (PBE, relaxed)
# total DFT energy (no corrections)	-117.963	eV for the cell shown
# formation enthalpy at 0 K	0.116	eV/atom
# D(E_F)	3.969	states/eV/f.u.
data_Nb3Ge4Os
_chemical_formula_sum 'Nb6 Ge8 Os2'
_space_group_name_H-M_alt 'P 1'
_space_group_IT_number 1
_cell_length_a 8.571
_cell_length_b 7.362
_cell_length_c 5.204
_cell_angle_alpha 90.00
_cell_angle_beta 90.00
_cell_angle_gamma 90.00
loop_
_space_group_symop_operation_xyz
'x,y,z'
loop_
_atom_site_label
_atom_site_fract_x
_atom_site_fract_y
_atom_site_fract_z
Nb1 0.000 0.148 0.000
Nb2 0.249 0.328 0.491
Nb3 0.251 0.672 0.991
Nb4 0.500 0.852 0.500
Nb5 0.749 0.672 0.991
Nb6 0.751 0.328 0.491
Ge1 0.000 0.124 0.497
Ge2 0.000 0.819 0.725
Ge3 0.232 0.683 0.489
Ge4 0.268 0.317 0.989
Ge5 0.500 0.181 0.225
Ge6 0.500 0.876 0.997
Ge7 0.732 0.317 0.989
Ge8 0.768 0.683 0.489
Os1 0.000 0.823 0.206
Os2 0.500 0.177 0.706

# 2
# NbGeOs2 (PBE, relaxed)
# total DFT energy (no corrections)	-37.219	eV for the cell shown
# formation enthalpy at 0 K	-0.018	eV/atom
# D(E_F)	2.908	states/eV/f.u.
data_NbGeOs2
_chemical_formula_sum 'Nb1 Ge1 Os2'
_space_group_name_H-M_alt 'P 1'
_space_group_IT_number 1
_cell_length_a 3.072
_cell_length_b 3.072
_cell_length_c 6.462
_cell_angle_alpha 90.00
_cell_angle_beta 90.00
_cell_angle_gamma 90.00
loop_
_space_group_symop_operation_xyz
'x,y,z'
loop_
_atom_site_label
_atom_site_fract_x
_atom_site_fract_y
_atom_site_fract_z
Nb1 0.000 0.000 0.000
Ge1 0.000 0.000 0.500
Os1 0.500 0.500 0.271
Os2 0.500 0.500 0.729

# 3
# NbGe2Os2 (PBE, relaxed)
# total DFT energy (no corrections)	-40.456	eV for the cell shown
# formation enthalpy at 0 K	0.262	eV/atom
# energy above the lowest structure with this stoichiometry	158	meV/atom
# D(E_F)	5.384	states/eV/f.u.
data_NbGe2Os2
_chemical_formula_sum 'Nb1 Ge2 Os2'
_space_group_name_H-M_alt 'P 1'
_space_group_IT_number 1
_cell_length_a 5.696
_cell_length_b 5.696
_cell_length_c 5.696
_cell_angle_alpha 137.50
_cell_angle_beta 137.50
_cell_angle_gamma 61.67
loop_
_space_group_symop_operation_xyz
'x,y,z'
loop_
_atom_site_label
_atom_site_fract_x
_atom_site_fract_y
_atom_site_fract_z
Nb1 0.000 0.000 0.000
Ge1 0.380 0.380 0.000
Ge2 0.620 0.620 0.000
Os1 0.250 0.750 0.500
Os2 0.750 0.250 0.500